No. 1
{"formula": "CaBePtO4", "functional": "PBE", "state": "optimized geometry", "lattice": [[5.2436, 0.0456, 0.0000], [-2.0645, 4.8203, 0.0000], [0.0000, 0.0000, 6.6148]], "species": ["Be", "Be", "Pt", "Pt", "Ca", "Ca", "O", "O", "O", "O", "O", "O", "O", "O"], "frac_coords": [[0.8770, 0.1230, 0.7500], [0.1230, 0.8770, 0.2500], [0.1830, 0.8170, 0.7500], [0.8170, 0.1830, 0.2500], [0.5000, 0.5000, 0.5000], [0.5000, 0.5000, 0.0000], [0.7865, 0.7796, 0.2500], [0.2135, 0.2204, 0.7500], [0.7746, 0.2254, 0.5431], [0.7746, 0.2254, 0.9569], [0.2254, 0.7746, 0.0431], [0.7796, 0.7865, 0.7500], [0.2204, 0.2135, 0.2500], [0.2254, 0.7746, 0.4569]], "crystal_system": "orthorhombic", "raw_formation_energy_ev_per_atom": -1.500, "final_energy_ev_per_atom": -6.015}


No. 2
{"formula": "Ca2BePtO", "functional": "PBE", "state": "optimized geometry", "lattice": [[-1.8720, -4.7225, -2.4079], [3.6265, -1.3843, -0.1043], [-0.7315, -2.2991, 5.0778]], "species": ["Ca", "Ca", "O", "Be", "Pt"], "frac_coords": [[0.0000, 0.0000, 0.5000], [0.5000, 0.0000, 0.0000], [0.0000, 0.5000, 0.0000], [0.5000, 0.5000, 0.5000], [0.0000, 0.0000, 0.0000]], "crystal_system": "tetragonal", "raw_formation_energy_ev_per_atom": -0.068, "final_energy_ev_per_atom": -3.814}


No. 3
{"formula": "CaPuBeO6", "functional": "PBE", "state": "optimized geometry", "lattice": [[5.0434, 0.0002, -0.0003], [2.5219, 4.3685, -0.0001], [-0.0004, -0.0003, 5.1594]], "species": ["O", "O", "O", "O", "O", "O", "Pu", "Ca", "Be"], "frac_coords": [[0.6261, 0.3589, 0.7060], [0.6261, 0.0149, 0.2940], [0.0148, 0.6262, 0.7061], [0.0149, 0.3590, 0.2940], [0.3589, 0.6262, 0.2939], [0.3589, 0.0149, 0.7060], [0.6666, 0.6667, 0.5000], [0.9999, 0.0001, 0.0000], [0.3334, 0.3332, 0.5000]], "crystal_system": "trigonal", "raw_formation_energy_ev_per_atom": -2.255, "final_energy_ev_per_atom": -7.789}


No. 4
{"formula": "CaPuBeO5", "functional": "PBE", "state": "optimized geometry", "lattice": [[-3.2651, 4.1539, 1.7706], [-3.4201, -3.7598, -2.2843], [2.4770, -3.3531, 6.4494]], "species": ["O", "O", "O", "O", "O", "O", "O", "O", "O", "O", "Be", "Be", "Ca", "Ca", "Pu", "Pu"], "frac_coords": [[0.9069, 0.0931, 0.7500], [0.6874, 0.0961, 0.3686], [0.9039, 0.3126, 0.1314], [0.7485, 0.6141, 0.4018], [0.2515, 0.3859, 0.5982], [0.6141, 0.7485, 0.9018], [0.3859, 0.2515, 0.0982], [0.0931, 0.9069, 0.2500], [0.0961, 0.6874, 0.8686], [0.3126, 0.9039, 0.6314], [0.6886, 0.3114, 0.2500], [0.3114, 0.6886, 0.7500], [0.6531, 0.3469, 0.7500], [0.3469, 0.6531, 0.2500], [0.0000, 0.0000, 0.5000], [0.0000, 0.0000, 0.0000]], "crystal_system": "monoclinic", "raw_formation_energy_ev_per_atom": -2.685, "final_energy_ev_per_atom": -8.292}


No. 5
{"formula": "Ca2PuBe2O6", "functional": "PBE", "state": "optimized geometry", "lattice": [[-3.2505, 0.8630, 4.2300], [-0.3011, -4.6515, -2.7343], [4.0171, -2.3573, 3.5678]], "species": ["Ca", "Ca", "Be", "Be", "O", "O", "O", "O", "O", "O", "Pu"], "frac_coords": [[0.3333, 0.6667, 0.3699], [0.6667, 0.3333, 0.6301], [0.3333, 0.6667, 0.8162], [0.6667, 0.3333, 0.1838], [0.6325, 0.9304, 0.7739], [0.7020, 0.6325, 0.2261], [0.3675, 0.0696, 0.2261], [0.9304, 0.2980, 0.2261], [0.0696, 0.7020, 0.7739], [0.2980, 0.3675, 0.7739], [0.0000, 0.0000, 0.0000]], "crystal_system": "trigonal", "raw_formation_energy_ev_per_atom": -2.703, "final_energy_ev_per_atom": -7.752}


No. 6
{"formula": "Ca2BeReO6", "functional": "PBE", "state": "optimized geometry", "lattice": [[-5.0925, 0.1254, -1.5436], [-0.6717, -4.9971, 1.8102], [-1.9695, 2.6884, 6.6908]], "species": ["O", "O", "O", "O", "O", "O", "O", "O", "O", "O", "O", "O", "Ca", "Ca", "Ca", "Ca", "Be", "Be", "Re", "Re"], "frac_coords": [[0.2867, 0.7200, 0.0314], [0.9393, 0.5096, 0.2558], [0.4393, 0.9904, 0.7558], [0.7810, 0.7858, 0.9678], [0.5607, 0.0096, 0.2442], [0.7133, 0.2800, 0.9686], [0.2810, 0.7142, 0.4678], [0.2133, 0.2200, 0.4686], [0.0607, 0.4904, 0.7442], [0.7867, 0.7800, 0.5314], [0.2190, 0.2142, 0.0322], [0.7190, 0.2858, 0.5322], [0.0052, 0.9669, 0.2515], [0.5052, 0.5331, 0.7515], [0.9948, 0.0331, 0.7485], [0.4948, 0.4669, 0.2485], [0.5000, 0.0000, 0.0000], [0.0000, 0.5000, 0.5000], [0.0000, 0.5000, 0.0000], [0.5000, 0.0000, 0.5000]], "crystal_system": "monoclinic", "raw_formation_energy_ev_per_atom": -2.289, "final_energy_ev_per_atom": -7.281}


No. 7
{"formula": "CaBeReO5", "functional": "PBE", "state": "optimized geometry", "lattice": [[-3.9171, -2.9420, -2.2806], [0.5853, -1.9907, 4.9895], [-2.9344, 6.5931, 0.9546]], "species": ["O", "O", "O", "O", "O", "O", "O", "O", "O", "O", "Ca", "Ca", "Be", "Be", "Re", "Re"], "frac_coords": [[0.7583, 0.6284, 0.4049], [0.0661, 0.9339, 0.2500], [0.1096, 0.6950, 0.8865], [0.8904, 0.3050, 0.1135], [0.6950, 0.1096, 0.3865], [0.3716, 0.2417, 0.0951], [0.2417, 0.3716, 0.5951], [0.9339, 0.0661, 0.7500], [0.6284, 0.7583, 0.9049], [0.3050, 0.8904, 0.6135], [0.3363, 0.6637, 0.2500], [0.6637, 0.3363, 0.7500], [0.3130, 0.6870, 0.7500], [0.6870, 0.3130, 0.2500], [0.0000, 0.0000, 0.0000], [0.0000, 0.0000, 0.5000]], "crystal_system": "monoclinic", "raw_formation_energy_ev_per_atom": -2.228, "final_energy_ev_per_atom": -7.599}


No. 8
{"formula": "Ca2Be2RhO6", "functional": "PBE", "state": "optimized geometry", "lattice": [[5.2089, 0.0000, 0.0000], [-2.6044, 4.5110, 0.0000], [0.0000, 0.0000, 5.6393]], "species": ["O", "O", "O", "O", "O", "O", "Ca", "Ca", "Be", "Be", "Rh"], "frac_coords": [[0.9239, 0.6497, 0.2114], [0.2742, 0.9239, 0.7886], [0.3503, 0.2742, 0.2114], [0.0761, 0.3503, 0.7886], [0.6497, 0.7258, 0.7886], [0.7258, 0.0761, 0.2114], [0.3333, 0.6667, 0.3544], [0.6667, 0.3333, 0.6456], [0.3333, 0.6667, 0.8342], [0.6667, 0.3333, 0.1658], [0.0000, 0.0000, 0.0000]], "crystal_system": "trigonal", "raw_formation_energy_ev_per_atom": -2.006, "final_energy_ev_per_atom": -6.421}


No. 9
{"formula": "Ca2BeRuO6", "functional": "PBE", "state": "optimized geometry", "lattice": [[-3.3416, 3.1938, 2.6181], [-3.9778, -1.4695, -3.2844], [-1.7226, -5.5577, 4.5730]], "species": ["Be", "Be", "Ca", "Ca", "Ca", "Ca", "O", "O", "O", "O", "O", "O", "O", "O", "O", "O", "O", "O", "Ru", "Ru"], "frac_coords": [[0.5000, 0.0000, 0.0000], [0.0000, 0.5000, 0.5000], [0.9940, 0.0390, 0.7487], [0.4940, 0.4610, 0.2487], [0.5060, 0.5390, 0.7513], [0.0060, 0.9610, 0.2513], [0.7900, 0.7822, 0.5339], [0.7100, 0.2822, 0.9661], [0.2100, 0.2178, 0.4661], [0.5641, 0.0104, 0.2415], [0.2900, 0.7178, 0.0339], [0.0641, 0.4896, 0.7415], [0.9359, 0.5104, 0.2585], [0.7167, 0.2892, 0.5338], [0.2167, 0.2108, 0.0338], [0.4359, 0.9896, 0.7585], [0.2833, 0.7108, 0.4662], [0.7833, 0.7892, 0.9662], [0.0000, 0.5000, 0.0000], [0.5000, 0.0000, 0.5000]], "crystal_system": "monoclinic", "raw_formation_energy_ev_per_atom": -1.979, "final_energy_ev_per_atom": -6.655}


No. 10
{"formula": "Ca2ScBe2O6", "functional": "PBE", "state": "optimized geometry", "lattice": [[5.3463, 0.0000, 0.0000], [2.6732, 4.6300, 0.0000], [2.6732, 1.5433, 5.3694]], "species": ["O", "O", "O", "O", "O", "O", "Be", "Be", "Ca", "Ca", "Sc"], "frac_coords": [[0.2556, 0.7497, 0.7390], [0.7444, 0.7444, 0.2610], [0.2556, 0.2556, 0.7390], [0.7444, 0.2503, 0.2610], [0.7497, 0.2556, 0.7390], [0.2503, 0.7444, 0.2610], [0.4201, 0.4201, 0.7397], [0.5799, 0.5799, 0.2603], [0.7971, 0.7971, 0.6087], [0.2029, 0.2029, 0.3913], [0.0000, 0.0000, 0.0000]], "crystal_system": "trigonal", "raw_formation_energy_ev_per_atom": -2.677, "final_energy_ev_per_atom": -6.998}


No. 11
{"formula": "CaBe2SeO6", "functional": "PBE", "state": "optimized geometry", "lattice": [[-0.8895, 4.3102, -2.7309], [-6.2593, 3.3880, 3.2803], [5.5440, 5.1060, 2.1472]], "species": ["Se", "Se", "O", "O", "O", "O", "O", "O", "O", "O", "O", "O", "O", "O", "Ca", "Ca", "Be", "Be", "Be", "Be"], "frac_coords": [[0.2500, 0.3162, 0.6838], [0.7500, 0.6838, 0.3162], [0.8741, 0.8572, 0.3338], [0.5225, 0.2868, 0.4918], [0.4775, 0.7132, 0.5082], [0.6259, 0.6662, 0.1428], [0.9775, 0.5082, 0.7132], [0.1259, 0.1428, 0.6662], [0.0225, 0.4918, 0.2868], [0.3818, 0.1538, 0.1866], [0.6182, 0.8462, 0.8134], [0.3741, 0.3338, 0.8572], [0.8818, 0.1866, 0.1538], [0.1182, 0.8134, 0.8462], [0.7500, 0.1064, 0.8936], [0.2500, 0.8936, 0.1064], [0.9155, 0.7204, 0.7965], [0.4155, 0.7965, 0.7204], [0.5845, 0.2035, 0.2796], [0.0845, 0.2796, 0.2035]], "crystal_system": "monoclinic", "raw_formation_energy_ev_per_atom": -1.950, "final_energy_ev_per_atom": -6.218}


No. 12
{"formula": "CaBeSi2O6", "functional": "PBE", "state": "optimized geometry", "lattice": [[5.4996, 0.1668, 0.1731], [1.9669, 6.6667, -0.0745], [1.9669, -0.3216, 6.6594]], "species": ["Si", "Si", "Si", "Si", "O", "O", "O", "O", "O", "O", "O", "O", "O", "O", "O", "O", "Ca", "Ca", "Be", "Be"], "frac_coords": [[0.1472, 0.3874, 0.2203], [0.6472, 0.2203, 0.3874], [0.3528, 0.7797, 0.6126], [0.8528, 0.6126, 0.7797], [0.5384, 0.1845, 0.6259], [0.0384, 0.6259, 0.1845], [0.2072, 0.9789, 0.7796], [0.7928, 0.0211, 0.2204], [0.8946, 0.3162, 0.3635], [0.1054, 0.6838, 0.6365], [0.2928, 0.2204, 0.0211], [0.7072, 0.7796, 0.9789], [0.4616, 0.8155, 0.3741], [0.3946, 0.3635, 0.3162], [0.6054, 0.6365, 0.6838], [0.9616, 0.3741, 0.8155], [0.2500, 0.8751, 0.1249], [0.7500, 0.1249, 0.8751], [0.7500, 0.7955, 0.2045], [0.2500, 0.2045, 0.7955]], "crystal_system": "monoclinic", "raw_formation_energy_ev_per_atom": -2.877, "final_energy_ev_per_atom": -7.509}


Q: What is the formula in the eleventh record?
A: CaBe2SeO6


Q: Number 9 is which compound?
A: Ca2BeRuO6